## ScMoPb2 (PBEsol)

Data for an optimized crystal structure of ScMoPb2.

Lattice parameters (Å, degrees): 3.6892 4.5013 5.0962 90.00 90.00 90.00
Closest atoms and distances in Å follow each position.
Element x y z (fractional)
1 Mo 0.0000 0.5000 0.5000  4 Pb 2.91, 4 Sc 3.15
2 Sc 0.5000 0.5000 0.0000  4 Pb 2.91, 4 Mo 3.15
3 Pb 0.5000 0.0000 0.5000  4 Mo 2.91, 4 Pb 3.15
4 Pb 0.0000 0.0000 0.0000  4 Sc 2.91, 4 Pb 3.15

E (eV/atom): -6.3293
Calculated formation energy (kJ/mol of formula units): 102
E above lowest polymorph (kJ/mol of atoms): 4.30
DOS at the Fermi energy (states/eV per atom): 0.83
SG: Pmmm, No. 47

=====

## Mo15Pb2Se19 (PBEsol)

Data for an optimized crystal structure of Mo15Pb2Se19.

Lattice parameters (Å, degrees): 9.5803 9.5803 20.1093 76.22 76.22 60.00
Closest atoms and distances in Å follow each position.
Element x y z (fractional)
1 Mo 0.4532 0.1358 0.1343  5 Se 2.51-2.67, 4 Mo 2.64-2.76
2 Pb 0.1271 0.1271 0.6188  4 Se 2.90-3.11
3 Se 0.3042 0.0597 0.9499  4 Mo 2.56-2.66
4 Se 0.7500 0.4393 0.7500  4 Mo 2.58-2.67
5 Se 0.6770 0.6770 0.9689  3 Mo 2.51
6 Se 0.8230 0.8230 0.5311  3 Mo 2.51
7 Se 0.1820 0.9174 0.3561  4 Mo 2.53-2.66
8 Mo 0.3117 0.5017 0.5586  5 Se 2.53-2.60, 4 Mo 2.64-2.73
9 Mo 0.1883 0.8720 0.9414  5 Se 2.53-2.60, 4 Mo 2.64-2.73
10 Se 0.9403 0.3138 0.0501  4 Mo 2.56-2.66
11 Se 0.4393 0.0607 0.7500  4 Mo 2.58-2.67
12 Se 0.0826 0.4555 0.6439  4 Mo 2.53-2.66
13 Se 0.8138 0.4403 0.5501  4 Mo 2.56-2.66
14 Se 0.4174 0.6820 0.8561  4 Mo 2.53-2.66
15 Mo 0.0887 0.4113 0.2500  4 Se 2.53-2.58, 6 Mo 2.66-2.76
16 Se 0.0445 0.4174 0.8561  4 Mo 2.53-2.66
17 Se 0.6958 0.9403 0.0501  4 Mo 2.56-2.66
18 Se 0.2500 0.5607 0.2500  4 Mo 2.58-2.67
19 Se 0.4403 0.1958 0.5501  4 Mo 2.56-2.66
20 Mo 0.1280 0.0017 0.0586  5 Se 2.53-2.60, 4 Mo 2.64-2.73
21 Mo 0.2500 0.0887 0.2500  4 Se 2.53-2.58, 6 Mo 2.66-2.76
22 Se 0.0607 0.7500 0.7500  4 Mo 2.58-2.67
23 Se 0.9174 0.5445 0.3561  4 Mo 2.53-2.66
24 Se 0.1862 0.5597 0.4499  4 Mo 2.56-2.66
25 Mo 0.9113 0.5887 0.7500  4 Se 2.53-2.58, 6 Mo 2.66-2.76
26 Se 0.5543 0.5543 0.3371  3 Mo 2.53
27 Se 0.8042 0.1862 0.4499  4 Mo 2.56-2.66
28 Se 0.5597 0.8042 0.4499  4 Mo 2.56-2.66
29 Pb 0.3729 0.3729 0.8812  4 Se 2.90-3.11
30 Se 0.0597 0.6862 0.9499  4 Mo 2.56-2.66
31 Mo 0.6280 0.3117 0.5586  5 Se 2.53-2.60, 4 Mo 2.64-2.73
32 Se 0.5445 0.1820 0.3561  4 Mo 2.53-2.66
33 Se 0.3138 0.6958 0.0501  4 Mo 2.56-2.66
34 Se 0.0543 0.0543 0.8371  3 Mo 2.53
35 Mo 0.6358 0.9532 0.6343  5 Se 2.51-2.67, 4 Mo 2.64-2.76
36 Se 0.9393 0.2500 0.2500  4 Mo 2.58-2.67
37 Mo 0.8117 0.1280 0.0586  5 Se 2.53-2.60, 4 Mo 2.64-2.73
38 Mo 0.3720 0.6883 0.4414  5 Se 2.53-2.60, 4 Mo 2.64-2.73
39 Mo 0.7500 0.9113 0.7500  4 Se 2.53-2.58, 6 Mo 2.66-2.76
40 Se 0.9555 0.5826 0.1439  4 Mo 2.53-2.66
41 Mo 0.5017 0.6280 0.5586  5 Se 2.53-2.60, 4 Mo 2.64-2.73
42 Mo 0.7767 0.6358 0.6343  5 Se 2.51-2.67, 4 Mo 2.64-2.76
43 Se 0.5826 0.3180 0.1439  4 Mo 2.53-2.66
44 Se 0.1958 0.8138 0.5501  4 Mo 2.56-2.66
45 Pb 0.6271 0.6271 0.1188  4 Se 2.90-3.11
46 Se 0.8180 0.0826 0.6439  4 Mo 2.53-2.66
47 Mo 0.8642 0.7233 0.8657  5 Se 2.51-2.67, 4 Mo 2.64-2.76
48 Mo 0.1358 0.2767 0.1343  5 Se 2.51-2.67, 4 Mo 2.64-2.76
49 Se 0.6820 0.0445 0.8561  4 Mo 2.53-2.66
50 Mo 0.0017 0.8117 0.0586  5 Se 2.53-2.60, 4 Mo 2.64-2.73
51 Mo 0.8720 0.9983 0.9414  5 Se 2.53-2.60, 4 Mo 2.64-2.73
52 Se 0.6862 0.3042 0.9499  4 Mo 2.56-2.66
53 Pb 0.8729 0.8729 0.3812  4 Se 2.90-3.11
54 Mo 0.0468 0.2233 0.3657  5 Se 2.51-2.67, 4 Mo 2.64-2.76
55 Se 0.3230 0.3230 0.0311  3 Mo 2.51
56 Se 0.4555 0.8180 0.6439  4 Mo 2.53-2.66
57 Mo 0.9983 0.1883 0.9414  5 Se 2.53-2.60, 4 Mo 2.64-2.73
58 Se 0.5607 0.9393 0.2500  4 Mo 2.58-2.67
59 Se 0.9457 0.9457 0.1629  3 Mo 2.53
60 Mo 0.6883 0.4983 0.4414  5 Se 2.53-2.60, 4 Mo 2.64-2.73
61 Mo 0.5887 0.7500 0.7500  4 Se 2.53-2.58, 6 Mo 2.66-2.76
62 Mo 0.2233 0.3642 0.3657  5 Se 2.51-2.67, 4 Mo 2.64-2.76
63 Se 0.3180 0.9555 0.1439  4 Mo 2.53-2.66
64 Mo 0.3642 0.0468 0.3657  5 Se 2.51-2.67, 4 Mo 2.64-2.76
65 Mo 0.7233 0.5468 0.8657  5 Se 2.51-2.67, 4 Mo 2.64-2.76
66 Mo 0.4113 0.2500 0.2500  4 Se 2.53-2.58, 6 Mo 2.66-2.76
67 Mo 0.9532 0.7767 0.6343  5 Se 2.51-2.67, 4 Mo 2.64-2.76
68 Mo 0.2767 0.4532 0.1343  5 Se 2.51-2.67, 4 Mo 2.64-2.76
69 Se 0.4457 0.4457 0.6629  3 Mo 2.53
70 Mo 0.4983 0.3720 0.4414  5 Se 2.53-2.60, 4 Mo 2.64-2.73
71 Se 0.1770 0.1770 0.4689  3 Mo 2.51
72 Mo 0.5468 0.8642 0.8657  5 Se 2.51-2.67, 4 Mo 2.64-2.76

E (eV/atom): -7.6741
E_form (uncorrected) (eV/atom): -0.52
DOS at the Fermi energy (states/eV per atom): 0.62
SG: R-3c, No. 167

=====

## MoPb2Se (PBEsol)

Data for an optimized crystal structure of MoPb2Se.

Lattice parameters (Å, degrees): 5.0298 5.0298 5.0298 60.00 60.00 60.00
Closest atoms and distances in Å follow each position.
Element x y z (fractional)
1 Pb 0.0000 0.0000 0.0000  4 Pb 3.08, 4 Se 3.08
2 Mo 0.5000 0.5000 0.5000  4 Pb 3.08, 4 Se 3.08
3 Se 0.2500 0.2500 0.2500  4 Mo 3.08, 4 Pb 3.08
4 Pb 0.7500 0.7500 0.7500  4 Pb 3.08, 4 Mo 3.08

E (eV/atom): -5.2284
E_form (uncorrected) (eV/atom): 0.68
DOS at the Fermi energy (states/eV per atom): 0.65
SG: F-43m, No. 216